Compound: Pr5Nd2Sm2
Source: the Alexandria database
Functional: PBE
Structure: optimized geometry

```
Pr5Nd2Sm2
1.0
9.072 -1.781 0.000
9.072 1.781 0.000
-1.535 0.000 10.000
Pr Nd Sm
5 2 2
Direct
0.000 0.000 0.000 Pr
0.177 0.177 0.873 Pr
0.331 0.331 0.462 Pr
0.669 0.669 0.538 Pr
0.823 0.823 0.127 Pr
0.496 0.496 0.313 Nd
0.504 0.504 0.687 Nd
0.163 0.163 0.229 Sm
0.837 0.837 0.771 Sm
```

Computed properties:
Energy ... -4.63 eV/atom
Formation energy ... 129 meV/atom
Magnetic moment ... 0.000 μB/atom
Energy above the most stable polymorph in this dataset ... 0.0 meV/atom
ρ ... 6.6 Mg/m³